First-principles (GGA-PBE) data for Ta3CdBi after structural relaxation, as listed in Alexandria via LeMat-Bulk.

Cell: 5.148 5.148 5.148 Å, 90.00 90.00 90.00°
Atoms (fractional coordinates):
Cd 0.500 0.500 0.500
Bi 0.000 0.000 0.000
Ta 0.000 0.500 0.000
Ta 0.000 0.000 0.500
Ta 0.500 0.000 0.000

Values from the calculation:
**DFT formation energy**: 2210 meV per atom
**D(E_F)**: 8.205 states/eV per cell
**E_tot**: -29.306 eV/cell
**M_tot**: 0.0 μB/cell

---

First-principles (GGA-PBE) data for TaCd2BiTe after structural relaxation, as listed in Alexandria via LeMat-Bulk.

Cell: 5.547 5.178 5.547 Å, 90.00 90.00 90.00°
Atoms (fractional coordinates):
Cd 0.000 0.000 0.500
Cd 0.500 0.000 0.000
Te 0.000 0.500 0.000
Bi 0.500 0.500 0.500
Ta 0.000 0.000 0.000

Values from the calculation:
**E_form (uncorrected)**: 0.722 eV/atom
**D(E_F)**: 4.926 states/eV per cell
**E_tot**: -17.095 eV/cell
**M_tot**: 0.0 μB/cell

---

First-principles (GGA-PBE) data for Tb8Cd2Bi after structural relaxation, as listed in Alexandria via LeMat-Bulk.

Cell: 5.663 8.459 8.459 Å, 117.70 100.50 100.50°
Atoms (fractional coordinates):
Tb 0.884 0.911 0.683
Tb 0.884 0.683 0.911
Tb 0.298 0.598 0.598
Tb 0.500 0.771 0.229
Tb 0.500 0.229 0.771
Tb 0.702 0.402 0.402
Tb 0.116 0.317 0.089
Tb 0.116 0.089 0.317
Cd 0.000 0.307 0.693
Cd 0.000 0.693 0.307
Bi 0.500 0.000 0.000

Values from the calculation:
**DFT formation energy**: -113 meV per atom
**D(E_F)**: 13.447 states/eV per cell
**E_tot**: -44.000 eV/cell
**M_tot**: 0.0 μB/cell

---

First-principles (GGA-PBE) data for Tb2CdBi after structural relaxation, as listed in Alexandria via LeMat-Bulk.

Cell: 4.338 4.338 8.048 Å, 74.37 74.37 60.00°
Atoms (fractional coordinates):
Tb 0.247 0.247 0.258
Tb 0.753 0.753 0.742
Bi 0.500 0.500 0.500
Cd 0.000 0.000 0.000

Values from the calculation:
**DFT formation energy**: -404 meV per atom
**D(E_F)**: 4.304 states/eV per cell
**E_tot**: -15.674 eV/cell
**M_tot**: 0.0 μB/cell

---

First-principles (GGA-PBE) data for Tb2Cd16Bi after structural relaxation, as listed in Alexandria via LeMat-Bulk.

Cell: 7.689 7.689 7.689 Å, 84.15 84.15 84.15°
Atoms (fractional coordinates):
Tb 0.665 0.665 0.665
Tb 0.336 0.336 0.336
Cd 0.683 0.995 0.323
Cd 0.995 0.323 0.683
Cd 0.323 0.683 0.995
Cd 0.995 0.683 0.323
Cd 0.683 0.323 0.995
Cd 0.323 0.995 0.683
Cd 0.354 0.812 0.354
Cd 0.812 0.354 0.354
Cd 0.354 0.354 0.812
Cd 0.652 0.163 0.652
Cd 0.163 0.652 0.652
Cd 0.652 0.652 0.163
Cd 0.018 0.479 0.018
Cd 0.479 0.018 0.018
Cd 0.018 0.018 0.479
Cd 0.104 0.104 0.104
Bi 0.892 0.892 0.892

Values from the calculation:
**DFT formation energy**: -98 meV per atom
**D(E_F)**: 5.731 states/eV per cell
**E_tot**: -29.647 eV/cell
**M_tot**: 0.0 μB/cell

---

First-principles (GGA-PBE) data for TbCdBi2 after structural relaxation, as listed in Alexandria via LeMat-Bulk.

Cell: 4.287 5.111 5.111 Å, 90.00 90.00 90.00°
Atoms (fractional coordinates):
Tb 0.500 0.000 0.000
Bi 0.000 0.000 0.500
Bi 0.000 0.500 0.000
Cd 0.500 0.500 0.500

Values from the calculation:
**DFT formation energy**: -387 meV per atom
**D(E_F)**: 2.292 states/eV per cell
**E_tot**: -14.855 eV/cell
**M_tot**: 0.0 μB/cell

---

First-principles (GGA-PBE) data for TbCd2Bi after structural relaxation, as listed in Alexandria via LeMat-Bulk.

Cell: 5.106 4.519 4.519 Å, 90.00 90.00 90.00°
Atoms (fractional coordinates):
Tb 0.500 0.000 0.000
Bi 0.500 0.500 0.500
Cd 0.000 0.000 0.500
Cd 0.000 0.500 0.000

Values from the calculation:
**DFT formation energy**: -393 meV per atom
**D(E_F)**: 1.358 states/eV per cell
**E_tot**: -11.913 eV/cell
**M_tot**: 0.0 μB/cell

---

First-principles (GGA-PBE) data for Tb3CdBi after structural relaxation, as listed in Alexandria via LeMat-Bulk.

Cell: 4.126 6.618 11.241 Å, 90.00 90.00 90.00°
Atoms (fractional coordinates):
Tb 0.000 0.752 0.302
Tb 0.500 0.748 0.698
Tb 0.500 0.252 0.698
Tb 0.000 0.248 0.302
Tb 0.000 0.000 0.919
Tb 0.500 0.500 0.081
Cd 0.000 0.000 0.542
Cd 0.500 0.500 0.458
Bi 0.500 0.000 0.134
Bi 0.000 0.500 0.866

Values from the calculation:
**DFT formation energy**: -329 meV per atom
**D(E_F)**: 8.690 states/eV per cell
**E_tot**: -40.660 eV/cell
**M_tot**: 0.0 μB/cell

---

First-principles (GGA-PBE) data for TbCdBi after structural relaxation, as listed in Alexandria via LeMat-Bulk.

Cell: 4.419 4.419 8.882 Å, 90.00 90.00 90.00°
Atoms (fractional coordinates):
Cd 0.000 0.000 0.000
Cd 0.500 0.500 0.000
Bi 0.000 0.500 0.680
Bi 0.500 0.000 0.320
Tb 0.000 0.500 0.322
Tb 0.500 0.000 0.678

Values from the calculation:
**DFT formation energy**: -472 meV per atom
**D(E_F)**: 2.249 states/eV per cell
**E_tot**: -21.686 eV/cell
**M_tot**: 0.0 μB/cell

---

First-principles (GGA-PBE) data for TbCdBi2 after structural relaxation, as listed in Alexandria via LeMat-Bulk.

Cell: 4.560 4.560 10.906 Å, 90.00 90.00 90.00°
Atoms (fractional coordinates):
Tb 0.000 0.500 0.270
Tb 0.500 0.000 0.730
Cd 0.500 0.500 0.000
Cd 0.000 0.000 0.000
Bi 0.500 0.000 0.216
Bi 0.000 0.500 0.784
Bi 0.000 0.000 0.500
Bi 0.500 0.500 0.500

Values from the calculation:
**DFT formation energy**: -386 meV per atom
**D(E_F)**: 5.037 states/eV per cell
**E_tot**: -29.706 eV/cell
**M_tot**: 0.0 μB/cell

---

First-principles (GGA-PBE) data for Tb5Cd2Bi after structural relaxation, as listed in Alexandria via LeMat-Bulk.

Cell: 8.463 8.463 8.823 Å, 118.66 118.66 90.00°
Atoms (fractional coordinates):
Tb 0.504 0.698 0.703
Tb 0.802 0.996 0.297
Tb 0.000 0.000 0.000
Tb 0.500 0.500 0.000
Tb 0.198 0.004 0.703
Tb 0.698 0.198 0.703
Tb 0.004 0.504 0.703
Tb 0.302 0.802 0.297
Tb 0.996 0.496 0.297
Tb 0.496 0.302 0.297
Cd 0.140 0.360 0.000
Cd 0.640 0.140 0.000
Cd 0.360 0.860 0.000
Cd 0.860 0.640 0.000
Bi 0.750 0.750 0.500
Bi 0.250 0.250 0.500

Values from the calculation:
**DFT formation energy**: -364 meV per atom
**D(E_F)**: 11.795 states/eV per cell
**E_tot**: -63.555 eV/cell
**M_tot**: 0.0 μB/cell

---

First-principles (GGA-PBE) data for Tb2CdBi4 after structural relaxation, as listed in Alexandria via LeMat-Bulk.

Cell: 4.537 4.537 10.441 Å, 90.00 90.00 90.00°
Atoms (fractional coordinates):
Tb 0.500 0.000 0.741
Tb 0.000 0.500 0.259
Cd 0.500 0.500 0.000
Bi 0.500 0.000 0.185
Bi 0.000 0.500 0.815
Bi 0.500 0.500 0.500
Bi 0.000 0.000 0.500

Values from the calculation:
**DFT formation energy**: -460 meV per atom
**D(E_F)**: 2.540 states/eV per cell
**E_tot**: -28.922 eV/cell
**M_tot**: 0.0 μB/cell